Entry from Alexandria: a relaxed structure of RbMgH2Ru (PBE-GGA).

abc: 3.974 3.974 7.594
angles: 90.00 90.00 90.00
Fractional positions:
Rb  0.000  0.000  0.000
Mg  0.000  0.000  0.500
H  0.000  0.500  0.500
H  0.500  0.000  0.500
Ru  0.500  0.500  0.000

Its volume is 119.9 Å³/f.u. The value obtained for the electronic total energy is -2.430 eV per atom. Its symmetry is P4/mmm.